Material: CdAs2Rh
Method: DFT, PBE
State: relaxed

Computed properties:
ΔE_f = 0.004 eV/atom

CIF file:
```
data_CdAs2Rh
_chemical_formula_sum 'Cd4 As8 Rh4'
_cell_length_a 5.881
_cell_length_b 5.881
_cell_length_c 11.501
_cell_angle_alpha 90.00
_cell_angle_beta 90.00
_cell_angle_gamma 90.00
_space_group_name_H-M_alt 'I -4 2 d'
_space_group_IT_number 122
_space_group_name_Hall 'I -4 2bw'
loop_
_atom_site_label
_atom_site_fract_x
_atom_site_fract_y
_atom_site_fract_z
Cd1 0.000 0.000 0.000
As1 0.200 0.250 0.625
Rh1 0.000 0.000 0.500
```